Record 1
Compound: HgHO2
Source: Alexandria
Functional: PBE
Structure: optimized geometry

Properties
DOS(E_F) ... 3.03 states/eV/cell
Energy above the lowest structure with this stoichiometry ... 1.047 eV per atom
Magnetization ... 0.000 Bohr magnetons per cell

Lattice parameters (Å, degrees): 5.976 5.976 5.976 28.56 28.56 28.56
Fractional coordinates of all 4 atoms:
Hg: 0.000 0.000 0.000
H: 0.500 0.500 0.500
O: 0.117 0.117 0.117
O: 0.883 0.883 0.883

Record 2
Compound: Ba2PbCl6
Source: Alexandria
Functional: PBE
Structure: optimized geometry

Properties
DOS(E_F) ... 0.00 states/eV/cell
Raw formation energy ... -2.0389 eV/atom
Magnetization ... 0.000 Bohr magnetons per cell

Lattice parameters (Å, degrees): 7.015 7.015 14.153 90.00 90.00 90.00
Fractional coordinates of all 18 atoms:
Ba: 0.000 0.000 0.167
Ba: 0.000 0.000 0.833
Ba: 0.500 0.500 0.333
Ba: 0.500 0.500 0.667
Pb: 0.000 0.000 0.500
Pb: 0.500 0.500 0.000
Cl: 0.189 0.189 0.341
Cl: 0.189 0.189 0.659
Cl: 0.204 0.204 0.000
Cl: 0.296 0.704 0.500
Cl: 0.311 0.689 0.159
Cl: 0.311 0.689 0.841
Cl: 0.689 0.311 0.159
Cl: 0.689 0.311 0.841
Cl: 0.704 0.296 0.500
Cl: 0.796 0.796 0.000
Cl: 0.811 0.811 0.341
Cl: 0.811 0.811 0.659

Record 3
Compound: Tb2PaS2N2
Source: Alexandria
Functional: PBE
Structure: optimized geometry

Properties
DOS(E_F) ... 5.01 states/eV/cell
Raw formation energy ... -1.5359 eV/atom
Magnetization ... 0.001 Bohr magnetons per cell

Lattice parameters (Å, degrees): 7.923 7.923 7.923 148.39 148.39 45.31
Fractional coordinates of all 7 atoms:
Tb: 0.129 0.129 0.000
Tb: 0.871 0.871 0.000
Pa: 0.500 0.500 0.000
S: 0.315 0.315 0.000
S: 0.685 0.685 0.000
N: 0.000 0.500 0.500
N: 0.500 0.000 0.500

Repeat the third record exactly.
Compound: Tb2PaS2N2
Source: Alexandria
Functional: PBE
Structure: optimized geometry

Properties
DOS(E_F) ... 5.01 states/eV/cell
Raw formation energy ... -1.5359 eV/atom
Magnetization ... 0.001 Bohr magnetons per cell

Lattice parameters (Å, degrees): 7.923 7.923 7.923 148.39 148.39 45.31
Fractional coordinates of all 7 atoms:
Tb: 0.129 0.129 0.000
Tb: 0.871 0.871 0.000
Pa: 0.500 0.500 0.000
S: 0.315 0.315 0.000
S: 0.685 0.685 0.000
N: 0.000 0.500 0.500
N: 0.500 0.000 0.500

> magnetization of number 2 (Ba2PbCl6)?

0.000 Bohr magnetons per cell

> The lowest DOS(E_F) belongs to which entry?

Ba2PbCl6